DFT (PBE-GGA) results for a relaxed DyTh6Tc3 crystal.

abc: 12.105 12.694 6.979
angles: 90.00 90.00 90.00
Space group Cmc2_1 (No. 36)
Inequivalent atoms, fractional coordinates:
Dy 0.000 0.198 0.000 (multiplicity 4)
Th 0.000 0.183 0.477 (multiplicity 4)
Th 0.000 0.438 0.726 (multiplicity 4)
Th 0.219 0.000 0.492 (multiplicity 8)
Th 0.233 0.260 0.714 (multiplicity 8)
Tc 0.000 0.003 0.737 (multiplicity 4)
Tc 0.117 0.375 0.305 (multiplicity 8)

The value obtained for the energy relative to the elements is -0.0231 eV per atom. As for the raw total energy: -321.80 eV/cell. Its density of states at the Fermi level is 42.4 states/eV/cell. The density is 11.45 g/cm3.